Below is a relaxed structure of TbGa3, with properties calculated at the GGA-PBE level.

Lattice parameters (Å, degrees): 6.3027 6.3027 4.5387 90.00 90.00 120.00
Atoms (fractional coordinates):
1 Ga 0.5194 0.0389 0.0000
2 Ga 0.5194 0.4806 0.0000
3 Ga 0.9611 0.4806 0.0000
4 Ga 0.3716 0.1858 0.5000
5 Ga 0.8142 0.1858 0.5000
6 Ga 0.8142 0.6284 0.5000
7 Tb 0.0000 0.0000 0.0000
8 Tb 0.3333 0.6667 0.5000

Computed properties:
final energy = -3.976 eV per atom
space group = P6_3/mmc